(1)
Compound: SbCl2
Source: the Alexandria database
Functional: GGA-PBE
Structure: relaxed

Results
Total moment: 0.00 μB/atom
Energy: -17.06 eV/cell
Fermi-level density of states: 2.5 states/eV/cell
ΔE to the lowest computed polymorph: 0.467 eV/atom

a = 5.723 Å, b = 5.723 Å, c = 4.794 Å
α = 90.00°, β = 90.00°, γ = 94.84°
Element x y z (fractional)
Sb 0.227 0.227 0.250
Sb 0.773 0.773 0.750
Cl 0.831 0.477 0.250
Cl 0.169 0.523 0.750
Cl 0.477 0.831 0.250
Cl 0.523 0.169 0.750

***

(2)
Compound: Tb5SmEr7
Source: the Alexandria database
Functional: GGA-PBE
Structure: relaxed

Results
Total moment: 0.00 μB/atom
Energy: -56.52 eV/cell
Fermi-level density of states: 22.4 states/eV/cell
DFT formation energy: 253.2 meV/atom
ΔE to the lowest computed polymorph: 0.000 eV/atom

a = 6.668 Å, b = 8.634 Å, c = 8.634 Å
α = 79.23°, β = 67.29°, γ = 67.29°
Element x y z (fractional)
Tb 0.536 0.004 0.460
Tb 0.999 0.004 0.460
Tb 0.536 0.460 0.004
Tb 0.999 0.460 0.004
Tb 0.770 0.730 0.730
Sm 0.968 0.032 0.032
Er 0.577 0.423 0.423
Er 0.272 0.728 0.728
Er 0.020 0.312 0.649
Er 0.020 0.649 0.312
Er 0.268 0.232 0.232
Er 0.518 0.813 0.152
Er 0.518 0.152 0.813

***

(3)
Compound: Si2HgP
Source: the Alexandria database
Functional: GGA-PBE
Structure: relaxed

Results
Total moment: 0.00 μB/atom
Energy: -14.83 eV/cell
Fermi-level density of states: 1.8 states/eV/cell
ΔE to the lowest computed polymorph: 0.179 eV/atom

a = 4.550 Å, b = 4.551 Å, c = 4.551 Å
α = 70.93°, β = 69.72°, γ = 109.06°
Element x y z (fractional)
Hg 0.000 0.500 0.500
P 0.500 0.500 0.000
Si 0.000 0.000 0.000
Si 0.500 0.000 0.500

***

(4)
Compound: Cs2UAu2S6
Source: the Alexandria database
Functional: GGA-PBE
Structure: relaxed

Results
Total moment: 0.00 μB/atom
Energy: -52.14 eV/cell
Fermi-level density of states: 4.8 states/eV/cell

a = 7.487 Å, b = 7.487 Å, c = 7.544 Å
α = 90.00°, β = 90.00°, γ = 120.00°
Element x y z (fractional)
Cs 0.667 0.333 0.705
Cs 0.333 0.667 0.295
U 0.000 0.000 0.000
Au 0.333 0.667 0.807
Au 0.667 0.333 0.193
S 0.148 0.306 0.786
S 0.694 0.842 0.786
S 0.158 0.852 0.786
S 0.852 0.694 0.214
S 0.306 0.158 0.214
S 0.842 0.148 0.214